Crystalline LiTa2Ru at its relaxed geometry. Source: Alexandria via LeMat-Bulk, functional GGA-PBE.

```
LiTa2Ru
1.0
-1.1344 2.6476 1.4012
0.3537 -1.3694 2.8740
5.6257 2.2175 0.3642
Li Ru Ta
1 1 2
Direct
0.0000 0.0000 0.5238
0.5000 0.5000 0.7274
0.0000 0.0000 0.9757
0.5000 0.5000 0.2732
```

Output
As for the uncorrected energy: -34.8 eV/f.u. As for the space group: No. 99.